No. 1
Compound: Tb2Ti2O7
Source: Alexandria via LeMat-Bulk
Functional: PBE
Structure: optimized geometry

a = 7.051 Å, b = 7.051 Å, c = 12.540 Å
α = 90.00°, β = 90.00°, γ = 90.00°
Element x y z (fractional)
O1 0.574 0.828 0.072
O2 0.426 0.172 0.572
O3 0.828 0.574 0.928
O4 0.337 0.136 0.204
O5 0.844 0.844 0.500
O6 0.947 0.921 0.853
O7 0.926 0.328 0.178
O8 0.663 0.864 0.704
O9 0.837 0.364 0.546
O10 0.921 0.947 0.147
O11 0.656 0.344 0.750
O12 0.053 0.079 0.353
O13 0.672 0.074 0.322
O14 0.156 0.156 0.000
O15 0.328 0.926 0.822
O16 0.163 0.636 0.046
O17 0.864 0.663 0.296
O18 0.079 0.053 0.647
O19 0.172 0.426 0.428
O20 0.421 0.553 0.603
O21 0.344 0.656 0.250
O22 0.136 0.337 0.796
O23 0.579 0.447 0.103
O24 0.636 0.163 0.954
O25 0.447 0.579 0.897
O26 0.074 0.672 0.678
O27 0.553 0.421 0.397
O28 0.364 0.837 0.454
Ti1 0.903 0.863 0.643
Ti2 0.637 0.403 0.893
Ti3 0.403 0.637 0.107
Ti4 0.863 0.903 0.357
Ti5 0.137 0.097 0.857
Ti6 0.097 0.137 0.143
Ti7 0.363 0.597 0.393
Ti8 0.597 0.363 0.607
Tb1 0.867 0.367 0.366
Tb2 0.633 0.867 0.884
Tb3 0.133 0.367 0.616
Tb4 0.867 0.633 0.116
Tb5 0.367 0.867 0.634
Tb6 0.133 0.633 0.866
Tb7 0.367 0.133 0.384
Tb8 0.633 0.133 0.134

## Properties
**DOS at the Fermi energy**: 0.0 states/eV/cell
**Density**: 5.60 g/cm³
**Final energy**: -385.3 eV per cell

=====

No. 2
Compound: TbTi2Tl2O7
Source: Alexandria via LeMat-Bulk
Functional: PBE
Structure: optimized geometry

a = 3.860 Å, b = 3.860 Å, c = 11.125 Å
α = 83.73°, β = 83.73°, γ = 89.39°
Element x y z (fractional)
Tb1 0.000 0.000 0.000
O1 0.398 0.398 0.357
O2 0.542 0.048 0.843
O3 0.500 0.500 0.000
O4 0.952 0.458 0.157
O5 0.602 0.602 0.643
O6 0.048 0.542 0.843
O7 0.458 0.952 0.157
Ti1 0.568 0.568 0.819
Ti2 0.432 0.432 0.181
Tl1 0.827 0.827 0.389
Tl2 0.173 0.173 0.611

## Properties
**DOS at the Fermi energy**: 2.6 states/eV/cell
**Density**: 7.86 g/cm³
**Final energy**: -88.2 eV per cell

=====

No. 3
Compound: Tb2TiZnO6
Source: Alexandria via LeMat-Bulk
Functional: PBE
Structure: optimized geometry

a = 4.959 Å, b = 5.200 Å, c = 5.200 Å
α = 90.00°, β = 90.00°, γ = 90.00°
Element x y z (fractional)
O1 0.731 0.758 0.758
O2 0.731 0.242 0.758
O3 0.170 0.500 0.500
O4 0.218 0.000 0.000
O5 0.731 0.758 0.242
O6 0.731 0.242 0.242
Ti1 0.589 0.000 0.000
Zn1 0.557 0.500 0.500
Tb1 0.995 0.000 0.500
Tb2 0.995 0.500 0.000

## Properties
**DOS at the Fermi energy**: 0.0 states/eV/cell
**Density**: 6.53 g/cm³
**Final energy**: -76.6 eV per cell

=====

No. 4
Compound: Tb6Tl2O
Source: Alexandria via LeMat-Bulk
Functional: PBE
Structure: optimized geometry

a = 6.897 Å, b = 6.898 Å, c = 9.737 Å
α = 90.00°, β = 90.00°, γ = 90.00°
Element x y z (fractional)
Tb1 0.501 0.500 0.753
Tb2 0.254 0.747 0.000
Tb3 0.754 0.753 0.500
Tb4 0.747 0.746 0.000
Tb5 0.001 0.000 0.253
Tb6 0.246 0.247 0.500
Tb7 0.999 0.000 0.747
Tb8 0.753 0.246 0.500
Tb9 0.247 0.754 0.500
Tb10 0.499 0.500 0.247
Tb11 0.253 0.254 0.000
Tb12 0.746 0.253 0.000
Tl1 0.000 0.500 0.750
Tl2 0.000 0.500 0.250
Tl3 0.500 0.000 0.250
Tl4 0.500 0.000 0.750
O1 0.000 0.000 0.500
O2 0.500 0.500 0.000

## Properties
**DOS at the Fermi energy**: 14.4 states/eV/cell
**Density**: 9.88 g/cm³
**Final energy**: -89.2 eV per cell

=====

Q: Look up the density of the fourth one.
A: 9.88 g/cm³